Compound: Ca2Ac3Ru
Source: the Alexandria database
Functional: PBE
Structure: relaxed

Cell lengths 6.0694, 8.1702, 10.1530 Å; angles 90.00, 72.59, 90.00 degrees
Last column: nearest neighbours and their distance in Å.
Positions (direct):
Ru 0.9573 0.7500 0.0000  6 Ac 2.91-3.15
Ru 0.0427 0.2500 0.0000  6 Ac 2.91-3.15
Ac 0.8934 0.5000 0.2125  2 Ru 2.91
Ac 0.4766 0.7500 0.9999  2 Ru 2.92-3.15
Ac 0.5234 0.2500 0.0001  2 Ru 2.92-3.15
Ac 0.1066 0.0000 0.7875  2 Ru 2.91
Ac 0.8934 0.0000 0.2125  2 Ru 2.91
Ac 0.1066 0.5000 0.7875  2 Ru 2.91
Ca 0.6897 0.2500 0.6025  2 Ca 3.63, 3 Ac 3.86-4.03
Ca 0.3103 0.7500 0.3975  2 Ca 3.63, 3 Ac 3.86-4.03
Ca 0.7079 0.7500 0.6025  2 Ca 3.63, 3 Ac 3.86-4.03
Ca 0.2921 0.2500 0.3975  2 Ca 3.63, 3 Ac 3.86-4.03

Computed properties:
The calculation puts the magnetization at 0.000 μB/cell. The calculation puts the mass density at 6.0 Mg/m³. As for the space group: Cmcm, No. 63. The formation energy comes out at -0.064 eV/atom.